# 1
Crystalline DyIrPbO6 at its relaxed geometry, computed with GGA-PBE.

POSCAR file:
```
DyIrPbO6
1.0
5.597 0.000 0.000
-2.798 4.847 0.000
0.000 0.000 9.510
O Pb Ir Dy
12 2 2 2
direct
0.344 0.384 0.866
0.344 0.960 0.634
0.384 0.040 0.134
0.616 0.960 0.866
0.040 0.656 0.866
0.616 0.656 0.634
0.960 0.616 0.366
0.656 0.040 0.366
0.040 0.384 0.634
0.656 0.616 0.134
0.960 0.344 0.134
0.384 0.344 0.366
0.000 0.000 0.500
0.000 0.000 0.000
0.333 0.667 0.750
0.667 0.333 0.250
0.667 0.333 0.750
0.333 0.667 0.250
```

Results
energy: -6.69 eV/atom
formation energy (no corrections): -1.481 eV per atom
symmetry: P-31c

---

# 2
Crystalline PIrAu3 at its relaxed geometry, computed with GGA-PBE.

POSCAR file:
```
PIrAu3
1.0
4.601 0.000 0.000
0.000 4.601 0.000
0.000 0.000 4.601
Au Ir P
3 1 1
direct
0.000 0.500 0.000
0.000 0.000 0.500
0.500 0.000 0.000
0.500 0.500 0.500
0.000 0.000 0.000
```

Results
formation energy from the elements: 4.4 eV per formula unit
energy: -3.94 eV/atom
distance to the lowest polymorph of the same formula: 0.0 meV per atom
symmetry: Pm-3m

---

# 3
Crystalline PuAl2TlF8 at its relaxed geometry, computed with GGA-PBE.

POSCAR file:
```
PuAl2TlF8
1.0
-2.178 2.754 -3.962
-5.039 -0.869 -1.371
-5.404 7.680 4.773
Tl Al F Pu
1 2 8 1
direct
0.500 0.500 0.500
0.748 0.748 0.755
0.252 0.252 0.245
0.230 0.995 0.182
0.593 0.230 0.182
0.770 0.005 0.818
0.407 0.770 0.818
0.995 0.593 0.182
0.005 0.407 0.818
0.804 0.804 0.587
0.196 0.196 0.413
0.000 0.000 0.000
```

Results
energy: -6.15 eV/atom
formation energy (no corrections): -2.888 eV per atom
symmetry: R-3